Record 1
Hf6Fe2H: relaxed, PBE.

Cell: 5.6546 6.1705 8.9840 Å, 90.00 90.69 90.00°
Last column: nearest neighbours and their distance in Å.
Sites, in units of the cell vectors:
Hf1 0.8455 0.9614 0.2480  1 H 2.43, 2 Fe 2.51-2.58
Hf2 0.8350 0.6780 0.5614  1 H 2.27
Hf3 0.8401 0.6854 0.9373  1 H 2.31, 2 Fe 2.53-2.56
Hf4 0.6599 0.1854 0.5627  1 H 2.31, 2 Fe 2.53-2.56
Hf5 0.6650 0.1780 0.9386  1 H 2.27
Hf6 0.6545 0.4614 0.2520  1 H 2.43, 2 Fe 2.51-2.58
Hf7 0.1545 0.0386 0.7520  1 H 2.43, 2 Fe 2.51-2.58
Hf8 0.1650 0.3220 0.4386  1 H 2.27
Hf9 0.1599 0.3146 0.0627  1 H 2.31, 2 Fe 2.53-2.56
Hf10 0.3401 0.8146 0.4373  1 H 2.31, 2 Fe 2.53-2.56
Hf11 0.3350 0.8220 0.0614  1 H 2.27
Hf12 0.3455 0.5386 0.7480  1 H 2.43, 2 Fe 2.51-2.58
Fe1 0.9215 0.3850 0.7529  6 Hf 2.51-2.58
Fe2 0.5785 0.8850 0.7471  6 Hf 2.51-2.58
Fe3 0.4215 0.1150 0.2529  6 Hf 2.51-2.58
Fe4 0.0785 0.6150 0.2471  6 Hf 2.51-2.58
H1 0.5000 0.5000 0.0000  6 Hf 2.27-2.43
H2 0.0000 0.0000 0.5000  6 Hf 2.27-2.43

Computed properties:
Electronic total energy = -9.055 eV per atom
Space group = P2_1/c
Crystal system = monoclinic

Record 2
Li2CuF8: relaxed, PBE.

Cell: 4.9073 5.8613 5.8613 Å, 85.29 69.31 69.31°
Last column: nearest neighbours and their distance in Å.
Sites, in units of the cell vectors:
Li1 0.1812 0.2724 0.2724  5 F 1.97-2.03
Li2 0.8188 0.7276 0.7276  5 F 1.97-2.03
Cu1 0.0000 0.0000 0.0000  6 F 1.81-1.82
F1 0.8650 0.0556 0.7430  1 Cu 1.81, 1 Li 2.03
F2 0.1350 0.2570 0.9444  1 Cu 1.81, 1 Li 2.03
F3 0.6272 0.2006 0.2006  1 Cu 1.82, 1 Li 1.97
F4 0.3728 0.7994 0.7994  1 Cu 1.82, 1 Li 1.97
F5 0.8650 0.7430 0.0556  1 Cu 1.81, 1 Li 2.03
F6 0.1350 0.9444 0.2570  1 Cu 1.81, 1 Li 2.03
F7 0.1999 0.4972 0.4972  1 F 1.94, 2 Li 1.97-1.98
F8 0.8001 0.5028 0.5028  1 F 1.94, 2 Li 1.97-1.98

Computed properties:
Space group = C2/m
Raw formation energy = -1.49 eV/atom
Crystal system = monoclinic

Record 3
Mg3TlSn: relaxed, PBE.

Cell: 5.2737 5.6136 7.0750 Å, 106.83 131.56 98.48°
Last column: nearest neighbours and their distance in Å.
Sites, in units of the cell vectors:
Mg1 0.8451 0.3722 0.6912  3 Sn 2.95-3.30, 2 Tl 2.98-3.29, 3 Mg 3.09-3.20
Mg2 0.3541 0.7669 0.6448  2 Sn 2.98-3.04, 3 Tl 3.05-3.28, 2 Mg 3.12-3.18
Mg3 0.2276 0.0456 0.0076  2 Tl 2.99-3.06, 3 Sn 3.03-3.28, 5 Mg 3.09-3.20
Tl1 0.0131 0.1255 0.3229  7 Mg 2.98-3.29, 1 Sn 3.22
Sn1 0.5620 0.6918 0.3375  8 Mg 2.95-3.30, 1 Tl 3.22

Computed properties:
Energy relative to the lowest polymorph listed for this composition = 0.251 eV/f.u.
Space group = P1
Energy of formation = 0.0015 eV per atom
Crystal system = triclinic

Record 4
CrRh2Au: relaxed, PBE.

Cell: 4.4184 4.4184 4.4184 Å, 60.00 60.00 60.00°
Last column: nearest neighbours and their distance in Å.
Sites, in units of the cell vectors:
Rh1 0.2500 0.2500 0.2500  4 Cr 2.71, 4 Au 2.71
Rh2 0.7500 0.7500 0.7500  4 Cr 2.71, 4 Au 2.71
Au1 0.5000 0.5000 0.5000  8 Rh 2.71
Cr1 0.0000 0.0000 0.0000  8 Rh 2.71

Computed properties:
Space group = Fm-3m
Energy of formation = 0.1868 eV per atom
Crystal system = cubic